Entry from the Alexandria database: an optimized crystal structure of RbRuCl5 (PBE).

Calculated values
Raw formation energy, eV/atom: -0.868
Size of the total moment, Bohr magnetons per cell: 4.90
D(E_F), states/eV per atom: 0.7666
Space group: C2/c, No. 15

Cell and atoms, written as POSCAR:
```
RbRuCl5
1.0
7.306 -0.775 -2.226
-3.588 6.787 -0.037
-1.742 0.284 10.064
Cl Ru Rb
10 2 2
direct
0.809 0.094 0.456 Cl
0.862 0.647 0.956 Cl
0.740 0.915 0.090 Cl
0.191 0.906 0.544 Cl
0.688 0.938 0.750 Cl
0.312 0.062 0.250 Cl
0.675 0.351 0.590 Cl
0.325 0.649 0.410 Cl
0.260 0.085 0.910 Cl
0.138 0.353 0.044 Cl
0.500 0.000 0.500 Ru
0.000 0.000 0.000 Ru
0.757 0.507 0.250 Rb
0.243 0.493 0.750 Rb
```